No. 1
Ni2BiW: relaxed, PBE-GGA.

```
8
Lattice="-2.117 2.117 8.266 2.117 -2.117 8.266 2.117 2.117 -8.266" Properties=species:S:1:pos:R:3 pbc="T T T"
Ni 3.175 0.697 -2.067
Ni 0.697 1.058 2.067
Ni -1.058 1.420 6.200
Ni 1.420 1.058 10.333
Bi 2.117 0.000 4.133
Bi 0.000 0.000 8.266
W 0.000 0.000 0.000
W 0.000 2.117 4.133
```

- symmetry = I-42d (122)
- Fermi-level density of states (states/eV/atom) = 0.9795
- theoretical density (g/cm³) = 11.4
- total DFT energy (no corrections) (eV per atom) = -6.2027
- ΔE_f (eV/atom) = 0.896

No. 2
YNiBi2: relaxed, PBE-GGA.

```
8
Lattice="-3.994 3.994 3.174 3.994 -3.994 3.174 3.994 3.994 -3.174" Properties=species:S:1:pos:R:3 pbc="T T T"
Y 0.000 0.000 0.000
Y 0.000 3.994 1.587
Ni 3.994 0.000 1.587
Ni 0.000 0.000 3.174
Bi 1.997 2.498 -0.794
Bi 5.489 1.997 0.794
Bi 1.997 1.495 2.381
Bi -1.495 1.997 3.968
```

- symmetry = I-42d (122)
- Fermi-level density of states (states/eV/atom) = 0.8899
- theoretical density (g/cm³) = 9.3
- total DFT energy (no corrections) (eV per atom) = -5.2562
- ΔE_f (eV/atom) = -0.254

No. 3
Y2NiBi: relaxed, PBE-GGA.

```
8
Lattice="-3.927 3.927 3.403 3.927 -3.927 3.403 3.927 3.927 -3.403" Properties=species:S:1:pos:R:3 pbc="T T T"
Y 5.890 1.550 -0.851
Y 1.550 1.963 0.851
Y -1.963 2.377 2.552
Y 2.377 1.963 4.253
Ni 0.000 0.000 0.000
Ni 0.000 3.927 1.701
Bi 3.927 0.000 1.701
Bi 0.000 0.000 3.403
```

- symmetry = I-42d (122)
- Fermi-level density of states (states/eV/atom) = 0.3411
- theoretical density (g/cm³) = 7.0
- total DFT energy (no corrections) (eV per atom) = -5.9243
- ΔE_f (eV/atom) = -0.277

No. 4
YNiBi2: relaxed, PBE-GGA.

```
4
Lattice="0.000 3.670 3.670 3.670 0.000 3.670 3.670 3.670 0.000" Properties=species:S:1:pos:R:3 pbc="T T T"
Y 0.000 0.000 0.000
Ni 3.670 3.670 3.670
Bi 1.835 1.835 1.835
Bi 5.505 5.505 5.505
```

- symmetry = Fm-3m (225)
- Fermi-level density of states (states/eV/atom) = 1.4231
- theoretical density (g/cm³) = 9.5
- total DFT energy (no corrections) (eV per atom) = -5.0108
- ΔE_f (eV/atom) = -0.009

No. 5
Y2Ni2Bi: relaxed, PBE-GGA.

```
5
Lattice="-1.803 1.803 8.643 1.803 -1.803 8.643 1.803 1.803 -8.643" Properties=species:S:1:pos:R:3 pbc="T T T"
Y 0.000 0.000 2.247
Y 0.000 0.000 15.038
Ni 1.803 0.000 4.321
Ni 0.000 1.803 4.321
Bi 0.000 0.000 8.643
```

- offset from the most stable computed form (eV/f.u.) = 1.00
- symmetry = I4/mmm (139)
- Fermi-level density of states (states/eV/atom) = 1.3515
- theoretical density (g/cm³) = 7.4
- total DFT energy (no corrections) (eV per atom) = -5.9936
- ΔE_f (eV/atom) = -0.319

No. 6
Y2Ni2Bi: relaxed, PBE-GGA.

```
5
Lattice="-2.633 2.633 4.063 2.633 -2.633 4.063 2.633 2.633 -4.063" Properties=species:S:1:pos:R:3 pbc="T T T"
Y 2.633 0.000 2.032
Y 0.000 2.633 2.032
Ni 0.000 0.000 1.119
Ni 0.000 0.000 7.008
Bi 0.000 0.000 4.063
```

- offset from the most stable computed form (eV/f.u.) = 1.08
- symmetry = I4/mmm (139)
- Fermi-level density of states (states/eV/atom) = 0.6404
- theoretical density (g/cm³) = 7.4
- total DFT energy (no corrections) (eV per atom) = -5.9775
- ΔE_f (eV/atom) = -0.303

- Among the records above, which one has the lowest theoretical density?
  Y2NiBi

- The lowest total DFT energy (no corrections) belongs to which entry?
  Ni2BiW

- What is the formula in the fifth record?
  Y2Ni2Bi

- The lowest theoretical density belongs to which entry?
  Y2NiBi